No. 1
The following is a DFT calculation (PBE) of an optimized crystal structure of Pr3Pt2N.

Final energy   -81.14 eV per cell

The structure in POSCAR format:
```
Pr3Pt2N
1.0
5.919 0.000 0.000
0.000 7.641 0.001
-2.960 -1.912 6.342
Pr Pt N
6 4 2
direct
0.141 0.570 0.279
0.540 0.750 0.000
0.859 0.430 0.721
0.861 0.930 0.721
0.139 0.070 0.279
0.460 0.250 0.000
0.327 0.913 0.650
0.677 0.587 0.350
0.323 0.413 0.650
0.673 0.087 0.350
0.045 0.250 0.000
0.955 0.750 0.000
```

***

No. 2
The following is a DFT calculation (PBE) of an optimized crystal structure of RbHfTlBi2.

E above lowest polymorph   394 kJ/mol of formula units
ΔE_f   0.750 eV per atom

The structure in POSCAR format:
```
RbHfTlBi2
1.0
6.058 0.000 0.000
0.000 5.529 0.000
0.000 0.000 6.058
Bi Rb Tl Hf
2 1 1 1
direct
0.000 0.000 0.500
0.500 0.000 0.000
0.500 0.500 0.500
0.000 0.000 0.000
0.000 0.500 0.000
```

***

The spin magnetization results, record by record, are as follows: 0.00 0.00 μB/cell.
The calculated density results, record by record, are as follows: 9.6 7.3 g/cm³.